# 1
Pu2IrCl: relaxed, GGA-PBE.

Cell: 3.942 3.942 7.965 Å, 75.67 75.67 60.00°
Last column: magnetic moment on the atom in μB.
Fractional positions:
Pu  0.264  0.264  0.208  5.18
Cl  0.499  0.499  0.504  0.00
Pu  0.070  0.070  0.791  -5.11
Ir  0.668  0.668  0.997  0.02

The value obtained for the distance to the lowest polymorph of the same formula is 107 meV per atom. The density of states at the Fermi level is 5.45 states/eV per atom.

# 2
BeRu2Br: relaxed, GGA-PBE.

Cell: 5.203 5.203 5.203 Å, 147.18 131.90 59.46°
Fractional positions:
Be  0.482  0.482  0.000
Br  0.755  0.255  0.500
Ru  0.268  0.768  0.500
Ru  0.995  0.995  0.000

The value obtained for the distance to the lowest polymorph of the same formula is 382 meV per atom. The density of states at the Fermi level is 1.01 states/eV per atom.

# 3
AcPtO2: relaxed, GGA-PBE.

Cell: 3.725 3.725 6.375 Å, 73.01 73.01 60.00°
Fractional positions:
O  0.132  0.132  0.604
O  0.868  0.868  0.396
Pt  0.500  0.500  0.500
Ac  0.000  0.000  0.000

For the total energy, the calculation gives -5.767 eV per atom. The density of states at the Fermi level is 0.55 states/eV per atom.

# 4
Nd3Sb5Rh6: relaxed, GGA-PBE.

Cell: 4.336 10.195 13.375 Å, 90.00 90.00 90.00°
Fractional positions:
Sb  0.000  0.852  0.332
Rh  0.500  0.509  0.000
Sb  0.500  0.148  0.168
Rh  0.500  0.004  0.000
Sb  0.000  0.524  0.120
Sb  0.000  0.849  0.000
Nd  0.000  0.249  0.669
Nd  0.500  0.750  0.500
Sb  0.500  0.151  0.500
Rh  0.000  0.996  0.500
Rh  0.500  0.402  0.193
Nd  0.000  0.250  0.000
Rh  0.000  0.002  0.833
Sb  0.000  0.852  0.668
Rh  0.500  0.998  0.333
Sb  0.000  0.524  0.880
Sb  0.500  0.476  0.380
Nd  0.000  0.249  0.331
Rh  0.500  0.402  0.807
Sb  0.500  0.476  0.620
Rh  0.000  0.598  0.307
Rh  0.000  0.491  0.500
Rh  0.000  0.002  0.167
Sb  0.500  0.148  0.832
Rh  0.500  0.998  0.667
Nd  0.500  0.751  0.831
Rh  0.000  0.598  0.693
Nd  0.500  0.751  0.169

For the total energy, the calculation gives -6.466 eV per atom. The density of states at the Fermi level is 0.63 states/eV per atom.

# 5
TaSiRh: relaxed, GGA-PBE.

Cell: 2.902 2.902 6.282 Å, 90.00 90.00 120.00°
Fractional positions:
Si  0.667  0.333  0.315
Rh  0.000  0.000  0.021
Ta  0.333  0.667  0.664

For the total energy, the calculation gives -8.500 eV per atom. The density of states at the Fermi level is 0.96 states/eV per atom.

# 6
CdFe2Sn2: relaxed, GGA-PBE.

Cell: 7.129 7.129 3.426 Å, 90.00 90.00 90.00°
Last column: magnetic moment on the atom in μB.
Fractional positions:
Sn  0.841  0.341  0.500  -0.10
Cd  0.500  0.500  0.000  -0.05
Fe  0.864  0.636  0.000  1.38
Fe  0.364  0.864  0.000  1.38
Sn  0.341  0.159  0.500  -0.10
Cd  0.000  0.000  0.000  -0.05
Fe  0.636  0.136  0.000  1.38
Sn  0.159  0.659  0.500  -0.10
Fe  0.136  0.364  0.000  1.39
Sn  0.659  0.841  0.500  -0.10

The value obtained for the energy of formation from the pure elements is 1.14 eV per formula unit. The density of states at the Fermi level is 0.74 states/eV per atom.